(1)
Pm6PrSn3 | PBE | relaxed

Cell and atoms, written as POSCAR:
```
Pm6PrSn3
1.0
7.8609 0.0000 0.0000
0.0000 9.4180 -0.4834
0.0000 -2.5729 9.0727
Sn Pm Pr
6 12 2
Direct
0.4342 0.9782 0.7339
0.3153 0.4263 0.5737
0.4342 0.2661 0.0218
0.8153 0.5737 0.4263
0.9342 0.7339 0.9782
0.9342 0.0218 0.2661
0.2904 0.0649 0.4560
0.7904 0.4560 0.0649
0.1093 0.3263 0.2536
0.6223 0.2865 0.7135
0.7904 0.9351 0.5440
0.6093 0.6737 0.7464
0.2904 0.5440 0.9351
0.7793 0.0483 0.9517
0.2793 0.9517 0.0483
0.6093 0.2536 0.3263
0.1093 0.7464 0.6737
0.1223 0.7135 0.2865
0.6007 0.7858 0.2142
0.1007 0.2142 0.7858
```

## Properties
SG: Cmc2_1, No. 36
Calculated volume (Å³ per cell): 661.91
N(E_F) (states/eV/cell): 24.89
Crystal system: orthorhombic
Energy (eV per atom): -4.9069
Magnetic moment (μB/f.u.): 0.001

(2)
RbCuBi2 | PBE | relaxed

Cell and atoms, written as POSCAR:
```
RbCuBi2
1.0
-3.0815 -3.1173 -0.6869
-1.4783 -2.4441 3.3950
-7.3246 3.5792 2.2865
Bi Rb Cu
2 1 1
Direct
0.2868 0.2868 0.1395
0.7132 0.7132 0.8605
0.5000 0.5000 0.5000
0.0000 0.0000 0.0000
```

## Properties
SG: R-3m, No. 166
Calculated volume (Å³ per cell): 137.58
N(E_F) (states/eV/cell): 1.28
Crystal system: trigonal
Energy (eV per atom): -3.2067
Magnetic moment (μB/f.u.): 0.000

(3)
ErAl8Cr4 | PBE | relaxed

Cell and atoms, written as POSCAR:
```
ErAl8Cr4
1.0
5.0576 0.0000 0.0000
2.5288 6.2819 0.0000
2.5288 0.0000 6.2819
Al Cr Er
8 4 1
Direct
0.6644 0.3356 0.3356
0.5000 0.7779 0.2221
0.5000 0.2221 0.7779
0.0000 0.3356 0.6644
0.7221 0.7779 0.7779
0.3356 0.6644 0.6644
0.2779 0.2221 0.2221
0.0000 0.6644 0.3356
0.5000 0.0000 0.5000
0.0000 0.0000 0.5000
0.5000 0.5000 0.0000
0.0000 0.5000 0.0000
0.0000 0.0000 0.0000
```

## Properties
SG: I4/mmm, No. 139
Calculated volume (Å³ per cell): 199.59
N(E_F) (states/eV/cell): 9.78
Crystal system: tetragonal
Energy (eV per atom): -5.8382
Magnetic moment (μB/f.u.): 1.924

(4)
NbCr2Pt | PBE | relaxed

Cell and atoms, written as POSCAR:
```
NbCr2Pt
1.0
3.7072 0.0000 0.0000
0.0000 3.7072 0.0000
1.8536 1.8536 9.2637
Nb Pt Cr
2 2 4
Direct
0.5000 0.5000 0.0000
0.2500 0.7500 0.5000
0.7500 0.2500 0.5000
0.0000 0.0000 0.0000
0.8750 0.8305 0.7500
0.5805 0.1250 0.2500
0.3750 0.4195 0.7500
0.1695 0.6250 0.2500
```

## Properties
SG: I-42d, No. 122
Calculated volume (Å³ per cell): 127.31
N(E_F) (states/eV/cell): 12.05
Crystal system: tetragonal
Energy (eV per atom): -8.3187
Magnetic moment (μB/f.u.): 0.000

(5)
LiGd2Rh | PBE | relaxed

Cell and atoms, written as POSCAR:
```
LiGd2Rh
1.0
3.5407 0.0000 0.0000
0.0000 3.5407 0.0000
0.0000 0.0000 7.5542
Gd Rh Li
2 1 1
Direct
0.0000 0.0000 0.2164
0.0000 0.0000 0.7836
0.5000 0.5000 0.0000
0.5000 0.5000 0.5000
```

## Properties
SG: P4/mmm, No. 123
Calculated volume (Å³ per cell): 94.70
N(E_F) (states/eV/cell): 3.62
Crystal system: tetragonal
Energy (eV per atom): -9.7308
Magnetic moment (μB/f.u.): 14.539

(6)
Ca2LaS3 | PBE | relaxed

Cell and atoms, written as POSCAR:
```
Ca2LaS3
1.0
4.0652 0.0000 0.0000
0.0000 5.7866 0.0000
-2.0326 -2.8933 6.1285
S Ca La
3 2 1
Direct
0.1716 0.6716 0.8432
0.5000 0.0000 0.5000
0.8284 0.3284 0.1568
0.1671 0.1671 0.8343
0.8329 0.8329 0.1657
0.5000 0.5000 0.5000
```

## Properties
SG: Immm, No. 71
Calculated volume (Å³ per cell): 144.17
N(E_F) (states/eV/cell): 1.93
Crystal system: orthorhombic
Energy (eV per atom): -5.6598
Magnetic moment (μB/f.u.): 0.000

(7)
PaIn2Cu | PBE | relaxed

Cell and atoms, written as POSCAR:
```
PaIn2Cu
1.0
-0.4922 2.8224 1.3177
-1.6431 0.2229 2.6824
8.3888 -0.0413 6.9955
Cu In Pa
1 2 1
Direct
0.5000 0.5000 0.5000
0.1005 0.1005 0.6986
0.8995 0.8995 0.3014
0.0000 0.0000 0.0000
```

## Properties
SG: R-3m, No. 166
Calculated volume (Å³ per cell): 92.76
N(E_F) (states/eV/cell): 4.71
Crystal system: trigonal
Energy (eV per atom): -4.4555
Magnetic moment (μB/f.u.): 0.276

(8)
TbPr2Te3 | PBE | relaxed

Cell and atoms, written as POSCAR:
```
TbPr2Te3
1.0
-1.1819 4.3237 0.1181
-1.2062 -0.1604 -6.1974
-5.1742 -3.8575 4.3250
Tb Te Pr
1 3 2
Direct
0.5000 0.5000 0.5000
0.5000 0.0000 0.5000
0.8425 0.3425 0.1849
0.1575 0.6575 0.8151
0.1739 0.1739 0.8479
0.8261 0.8261 0.1521
```

## Properties
SG: Immm, No. 71
Calculated volume (Å³ per cell): 190.73
N(E_F) (states/eV/cell): 3.08
Crystal system: orthorhombic
Energy (eV per atom): -5.3314
Magnetic moment (μB/f.u.): 0.000

(9)
MgSiOs2 | PBE | relaxed

Cell and atoms, written as POSCAR:
```
MgSiOs2
1.0
-3.5381 -0.2765 3.6832
-4.7132 -1.1795 -1.5986
4.8779 -1.4891 0.3866
Mg Os Si
1 2 1
Direct
0.2500 0.7500 0.5000
0.9677 0.9677 0.0000
0.5323 0.5323 0.0000
0.7500 0.2500 0.5000
```

## Properties
SG: Immm, No. 71
Calculated volume (Å³ per cell): 58.73
N(E_F) (states/eV/cell): 1.78
Crystal system: orthorhombic
Energy (eV per atom): -7.3605
Magnetic moment (μB/f.u.): 0.000

(10)
Ge2BHOs | PBE | relaxed

Cell and atoms, written as POSCAR:
```
Ge2BHOs
1.0
-3.7303 0.3823 -2.6364
0.6320 -2.4528 -1.2498
-2.4586 -2.2406 3.1539
Ge B Os H
2 1 1 1
Direct
0.5000 0.0000 0.0000
0.0000 0.0000 0.5000
0.0000 0.0000 0.0000
0.5000 0.5000 0.5000
0.0000 0.5000 0.0000
```

## Properties
SG: P4/mmm, No. 123
Calculated volume (Å³ per cell): 59.35
N(E_F) (states/eV/cell): 4.09
Crystal system: tetragonal
Energy (eV per atom): -5.3884
Magnetic moment (μB/f.u.): 0.000

(11)
PtW2Se | PBE | relaxed

Cell and atoms, written as POSCAR:
```
PtW2Se
1.0
2.9391 0.0000 0.0000
0.0000 2.9391 0.0000
0.0000 0.0000 7.9108
W Se Pt
2 1 1
Direct
0.5000 0.5000 0.2479
0.0000 0.0000 0.9909
0.5000 0.5000 0.7911
0.0000 0.0000 0.4701
```

## Properties
SG: P4mm, No. 99
Calculated volume (Å³ per cell): 68.34
N(E_F) (states/eV/cell): 2.61
Crystal system: tetragonal
Energy (eV per atom): -8.7237
Magnetic moment (μB/f.u.): 0.000

(12)
CuHg2Mo | PBE | relaxed

Cell and atoms, written as POSCAR:
```
CuHg2Mo
1.0
-1.5020 5.3516 0.8271
-4.9950 1.6041 -2.0139
3.0069 -3.2077 3.4999
Mo Hg Cu
1 2 1
Direct
0.7500 0.2500 0.5000
0.0169 0.0169 0.0000
0.4831 0.4831 0.0000
0.2500 0.7500 0.5000
```

## Properties
SG: Immm, No. 71
Calculated volume (Å³ per cell): 71.68
N(E_F) (states/eV/cell): 2.70
Crystal system: orthorhombic
Energy (eV per atom): -3.2535
Magnetic moment (μB/f.u.): 0.732